# 1
Crystalline ThHgPd at its relaxed geometry, computed with GGA-PBE. Values from VASP.

Values from the calculation:
E_form (eV per atom): -0.605

The structure in Quantum ESPRESSO input format:
```
&SYSTEM
  ibrav = 0, nat = 18, ntyp = 3
/
ATOMIC_SPECIES
Th 232.04 Th.upf
Hg 200.59 Hg.upf
Pd 106.42 Pd.upf
CELL_PARAMETERS angstrom
3.881 0.000 0.000
0.000 7.862 0.000
0.000 0.000 13.853
ATOMIC_POSITIONS angstrom
Th 0.000 1.836 13.128
Th 0.000 6.025 0.724
Th 0.000 1.836 7.650
Th 0.000 6.025 6.202
Th 0.000 1.308 3.463
Th 0.000 6.553 10.389
Hg 1.940 3.402 1.527
Hg 1.940 4.460 12.325
Hg 1.940 3.402 5.399
Hg 1.940 4.460 8.453
Hg 1.940 6.449 3.463
Hg 1.940 1.413 10.389
Pd 1.940 0.512 1.302
Pd 1.940 7.350 12.551
Pd 1.940 0.512 5.624
Pd 1.940 7.350 8.228
Pd 0.000 4.351 3.463
Pd 0.000 3.510 10.389
```



# 2
Crystalline V3BiH at its relaxed geometry, computed with GGA-PBE. Values from VASP.

Values from the calculation:
Final energy (eV/atom): -4.955

The structure in Quantum ESPRESSO input format:
```
&SYSTEM
  ibrav = 0, nat = 5, ntyp = 3
/
ATOMIC_SPECIES
H 1.01 H.upf
Bi 208.98 Bi.upf
V 50.94 V.upf
CELL_PARAMETERS angstrom
5.341 0.000 0.000
0.000 5.341 0.000
0.000 0.000 5.341
ATOMIC_POSITIONS angstrom
H 2.670 2.670 2.670
Bi 0.000 0.000 0.000
V 0.000 2.670 0.000
V 0.000 0.000 2.670
V 2.670 0.000 0.000
```



| no. | total moment (μB per atom) |
| --- | --- |
| 1 | 0.000 |
| 2 | 2.200 |